Density functional theory data (SCAN) for Li5Ti2Mn3O10 at its PBEsol-relaxed geometry.

a b c (Å): 5.109 5.197 7.725
angles (deg): 107.50 101.65 101.69
Site moments in Bohr magnetons follow the coordinates.
Fractional positions:
Mn  0.314  0.116  0.109  4.35
O  0.672  0.314  0.064  0.08
O  0.434  0.891  0.655  0.04
Li  0.396  0.296  0.786  0.00
Ti  0.902  0.287  0.312  0.09
O  0.137  0.327  0.545  0.01
O  0.222  0.496  0.237  0.07
Mn  0.000  0.500  0.000  3.99
O  0.566  0.108  0.345  0.04
O  0.778  0.503  0.763  0.07
Li  0.604  0.703  0.215  0.00
O  0.950  0.933  0.161  0.11
Mn  0.687  0.884  0.892  4.35
Li  0.219  0.896  0.399  0.00
Li  0.500  0.500  0.500  0.00
O  0.328  0.686  0.937  0.08
O  0.863  0.672  0.455  0.01
Li  0.781  0.103  0.602  0.00
O  0.051  0.067  0.839  0.11
Ti  0.099  0.712  0.689  0.09

Results
* SG: P-1
* magnetization: 14.00 Bohr magnetons per cell
* calculated total energy: -212.1 eV/cell
* ρ: 4.113 g/cm3
* E_form (uncorrected): -4927 kJ/mol of formula units

***

Density functional theory data (SCAN) for IrRh3 at its PBEsol-relaxed geometry.

a b c (Å): 2.697 4.661 5.112
angles (deg): 117.12 105.29 90.00
Fractional positions:
Ir  0.000  0.001  0.000
Rh  0.500  0.499  0.000
Rh  0.748  0.082  0.497
Rh  0.252  0.585  0.503

Results
* SG: Imm2
* magnetization: 0.00 Bohr magnetons per cell
* calculated total energy: -172.3 eV/cell
* ρ: 15.232 g/cm3
* energy of formation from the pure elements: 0.036 eV/atom

***

Density functional theory data (SCAN) for Sr2AlGaCu2O7 at its PBEsol-relaxed geometry.

a b c (Å): 5.228 5.320 11.982
angles (deg): 102.83 102.59 90.00
Fractional positions:
Ga  0.794  0.682  0.000
Al  0.496  0.001  0.500
Cu  0.554  0.558  0.619
O  0.655  0.354  0.000
O  0.118  0.624  0.390
Sr  0.854  0.337  0.202
O  0.155  0.646  0.000
O  0.869  0.735  0.609
O  0.729  0.235  0.611
O  0.309  0.294  0.153
O  0.260  0.127  0.392
O  0.656  0.706  0.848
O  0.156  0.142  0.848
Cu  0.436  0.442  0.382
O  0.618  0.766  0.390
Cu  0.936  0.940  0.382
Cu  0.054  0.060  0.619
Sr  0.354  0.865  0.202
O  0.809  0.859  0.153
Ga  0.294  0.318  0.000
O  0.760  0.265  0.392
Sr  0.653  0.136  0.799
O  0.369  0.873  0.609
Sr  0.153  0.663  0.799
Al  0.996  0.499  0.500
O  0.229  0.376  0.611

Results
* SG: Cc
* magnetization: 0.00 Bohr magnetons per cell
* calculated total energy: -342.4 eV/cell
* ρ: 5.358 g/cm3
* E_form (uncorrected): -2755 kJ/mol of formula units